# KBiI2O

A relaxed structure of KBiI2O (GGA-PBE, Alexandria).

Unit cell a=6.417 b=6.417 c=4.402 alpha=90.00 beta=90.00 gamma=90.00
Sites, in units of the cell vectors:
I 0.000 0.500 0.000
I 0.500 0.000 0.000
K 0.500 0.500 0.500
Bi 0.000 0.000 0.000
O 0.000 0.000 0.500

Output
ΔE to the lowest computed polymorph = 0 meV/atom
symmetry = P4/mmm, No. 123
uncorrected formation energy = -875 meV per atom

# K2BiIO6

A relaxed structure of K2BiIO6 (GGA-PBE, Alexandria).

Unit cell a=5.992 b=5.992 c=5.991 alpha=60.00 beta=60.00 gamma=90.00
Sites, in units of the cell vectors:
K 0.750 0.250 0.500
K 0.250 0.750 0.500
Bi 0.000 0.000 0.000
I 0.500 0.500 0.000
O 0.274 0.274 0.453
O 0.726 0.726 0.000
O 0.274 0.726 0.000
O 0.726 0.274 0.000
O 0.274 0.274 0.000
O 0.726 0.726 0.547

Output
symmetry = Fm-3m, No. 225
uncorrected formation energy = -1053 meV per atom

# KBiI2O

A relaxed structure of KBiI2O (GGA-PBE, Alexandria).

Unit cell a=6.231 b=6.231 c=4.347 alpha=90.00 beta=90.00 gamma=90.00
Sites, in units of the cell vectors:
I 0.000 0.500 0.000
I 0.500 0.000 0.000
K 0.000 0.000 0.000
Bi 0.500 0.500 0.500
O 0.000 0.000 0.500

Output
ΔE to the lowest computed polymorph = 1144 meV/atom
symmetry = P4/mmm, No. 123
uncorrected formation energy = 269 meV per atom

# K2RbBiI6

A relaxed structure of K2RbBiI6 (GGA-PBE, Alexandria).

Unit cell a=8.830 b=8.830 c=9.224 alpha=61.40 beta=61.40 gamma=59.99
Sites, in units of the cell vectors:
K 0.527 0.527 0.420
K 0.012 0.012 0.964
Rb 0.813 0.814 0.559
Bi 0.326 0.326 0.022
I 0.564 0.221 0.244
I 0.221 0.971 0.244
I 0.971 0.564 0.244
I 0.406 0.688 0.772
I 0.688 0.133 0.773
I 0.133 0.406 0.772

Output
ΔE to the lowest computed polymorph = 0 meV/atom
symmetry = R3, No. 146
uncorrected formation energy = -1067 meV per atom